The following is a PBE-GGA calculation of a geometry-optimized AcLa5Tb2 structure, from the Alexandria database.

Lattice parameters (Å, degrees): 3.7148 11.5037 9.1626 128.88 101.70 90.00
Atoms (fractional coordinates):
1 La 0.3681 0.5962 0.7361
2 La 0.3681 0.1399 0.7361
3 La 0.6319 0.4038 0.2639
4 La 0.0000 0.5000 0.0000
5 La 0.6319 0.8601 0.2639
6 Tb 0.2551 0.7551 0.5103
7 Tb 0.7449 0.2449 0.4897
8 Ac 0.0000 0.0000 0.0000

Summary:
Energy relative to the elements   0.0205 eV/atom
Energy   -37.84 eV/f.u.